# GGA+U Co2Br3F, relaxed
# magnetic moment	12.000	Bohr magnetons per cell
# total DFT energy (no corrections)	-45.196	eV per cell
data_Co2Br3F
_space_group_name_H-M_alt 'P 1'
_space_group_IT_number 1
_space_group_name_Hall 'P 1'
_cell_length_a 9.065
_cell_length_b 9.065
_cell_length_c 11.998
_cell_angle_alpha 121.56
_cell_angle_beta 121.56
_cell_angle_gamma 23.28
loop_
_atom_site_label
_atom_site_fract_x
_atom_site_fract_y
_atom_site_fract_z
_atom_site_occupancy
Co1 0.224 0.224 0.106 1
Co2 0.274 0.274 0.650 1
Co3 0.726 0.726 0.350 1
Co4 0.776 0.776 0.894 1
Br1 0.118 0.118 0.192 1
Br2 0.339 0.339 0.499 1
Br3 0.357 0.357 0.078 1
Br4 0.643 0.643 0.922 1
Br5 0.661 0.661 0.501 1
Br6 0.882 0.882 0.808 1
F1 0.229 0.229 0.777 1
F2 0.771 0.771 0.223 1